Computed, not measured: TlCoRe2 after structural relaxation at the PBE level of DFT.

Results
ΔH_f (0 K) = 282 kJ/mol of formula units
size of the total moment = 0.84 μB/f.u.
symmetry = Pmmm, No. 47
DFT total energy = -7.86 eV per atom
energy above the most stable polymorph in this dataset = 230 meV/atom
calculated volume = 16.30 A^3/atom

Geometry as extended XYZ:
```
4
Lattice="2.784 0.000 0.000 0.000 3.767 0.000 0.000 0.000 6.218" Properties=species:S:1:pos:R:3 pbc="T T T"
Re 0.000 0.000 5.855
Re 0.000 0.000 3.472
Tl 1.392 1.883 1.555
Co 1.392 1.883 4.664
```